Entry from Alexandria via LeMat-Bulk: a relaxed structure of La2SnAs (PBE).

```
La2SnAs
1.0
-4.158 4.158 3.654
4.158 -4.158 3.654
4.158 4.158 -3.654
La Sn As
4 2 2
Cartesian
6.237 1.879 -0.914
1.879 2.079 0.914
-2.079 2.279 2.741
2.279 2.079 4.568
4.158 0.000 1.827
0.000 0.000 3.654
0.000 0.000 0.000
0.000 4.158 1.827
```

Values from the calculation:
V in Å³ per atom: 31.59
Calculated formation energy in eV/atom: -0.84
Crystal system: tetragonal
Energy in eV/atom: -5.466
Density of states at the Fermi level in states/eV/atom: 0.772